## one
DFT (GGA+U) results for a relaxed CsCoF2 crystal.

```
CsCoF2
1.0
-3.8430 -2.6117 -1.1782
-4.1884 0.7717 2.1999
-3.6283 2.0200 -2.3942
Cs Co F
1 1 2
Cartesian
-5.8299 0.0900 -0.6863 Cs
0.0000 0.0000 0.0000 Co
-2.9149 0.0450 -0.3431 F
-8.7448 0.1351 -1.0294 F
```

## Properties
space-group type: Fm-3m, No. 225
volume: 19.47 Å³ per atom
mass density: 4.9 Mg/m³

***

## two
DFT (GGA+U) results for a relaxed CsCoF2 crystal.

```
CsCoF2
1.0
-1.3111 -0.6075 5.0015
5.0378 -0.0855 1.3102
1.7781 5.8839 3.8903
Cs Co F
2 2 4
Cartesian
0.0000 0.0000 0.0000 Cs
1.1652 2.4649 6.0238 Cs
1.8634 -0.3465 3.1558 Co
4.3396 2.7259 4.1781 Co
0.4669 1.1789 3.4533 F
3.2172 1.2433 3.2256 F
3.5459 4.1392 5.4965 F
3.7797 3.8204 8.2285 F
```

## Properties
space-group type: I-42d, No. 122
volume: 21.26 Å³ per atom
mass density: 4.5 Mg/m³

***

## three
DFT (GGA+U) results for a relaxed CsCoF2 crystal.

```
CsCoF2
1.0
-2.0538 6.7641 0.6863
-4.0623 4.3244 3.9037
0.2417 5.5825 4.3840
Cs Co F
1 1 2
Cartesian
-2.9372 8.3355 4.4870 Cs
0.0000 0.0000 0.0000 Co
-5.3341 15.1378 8.1487 F
-0.5402 1.5332 0.8253 F
```

## Properties
space-group type: R-3m, No. 166
volume: 29.10 Å³ per atom
mass density: 3.3 Mg/m³

***

Which one sits at the bottom of the stability order? one does.